{"formula": "NiGe3O", "functional": "PBE with a Hubbard U", "state": "optimized geometry", "spacegroup": "Pm-3m, No. 221", "magmom_total_mub_per_cell": 1.0, "e_tot_ev_per_cell": -19.1, "lattice": [[4.332, 0.000, 0.000], [0.000, 4.332, 0.000], [0.000, 0.000, 4.332]], "species": ["Ni", "Ge", "Ge", "Ge", "O"], "frac_coords": [[0.000, 0.000, 0.000], [0.000, 0.500, 0.500], [0.500, 0.000, 0.500], [0.500, 0.500, 0.000], [0.500, 0.500, 0.500]]}